# 1
VASP calculation (meta-GGA SCAN) on BeInBPb2 at its PBEsol-relaxed geometry.

The structure belongs to space group P4/mmm (No. 123); the cell edges are 5.3508, 5.3508 and 3.6473 Å and the angles 90.00°, 90.00° and 90.00°. The asymmetric unit holds Be at (0.0000, 0.0000, 0.0000), In at (0.5000, 0.5000, 0.0000), B at (0.0000, 0.0000, 0.5000) and Pb at (0.0000, 0.5000, 0.5000).

For the magnetization, the calculation gives 0.0000 μB/atom. As for the energy of formation from the pure elements: 0.48 eV per atom. The calculation puts the density of states at the Fermi level at 0.47 states/eV/atom. As for the crystal system: tetragonal. As for the raw total energy: -38.8622 eV/atom.

***

# 2
VASP calculation (meta-GGA SCAN) on FeCo2Mo at its PBEsol-relaxed geometry.

The structure belongs to space group P4/mmm (No. 123); the cell edges are 3.5089, 3.5089 and 3.5942 Å and the angles 90.00°, 90.00° and 90.00°. The asymmetric unit holds Fe at (0.0000, 0.0000, 0.0000), Co at (0.0000, 0.5000, 0.5000) and Mo at (0.5000, 0.5000, 0.0000).

For the magnetization, the calculation gives 0.4636 μB/atom. As for the energy of formation from the pure elements: 0.19 eV per atom. The calculation puts the density of states at the Fermi level at 0.46 states/eV/atom. As for the crystal system: tetragonal. For the energy above the most stable polymorph in this dataset, the calculation gives 0.59 eV/f.u. As for the raw total energy: -21.7162 eV/atom.

***

# 3
VASP calculation (meta-GGA SCAN) on Dy2ZnRh at its PBEsol-relaxed geometry.

The structure belongs to space group Fm-3m (No. 225); the cell edges are 6.8551, 6.8551 and 6.8551 Å and the angles 90.00°, 90.00° and 90.00°. The asymmetric unit holds Dy at (0.2500, 0.2500, 0.2500), Zn at (0.0000, 0.0000, 0.0000) and Rh at (0.0000, 0.0000, 0.5000).

For the magnetization, the calculation gives 0.0000 μB/atom. As for the energy of formation from the pure elements: -0.71 eV per atom. The calculation puts the density of states at the Fermi level at 0.54 states/eV/atom. As for the crystal system: cubic. As for the raw total energy: -36.4286 eV/atom.

***

# 4
VASP calculation (meta-GGA SCAN) on KNiAs2 at its PBEsol-relaxed geometry.

The structure belongs to space group P4mm (No. 99); the cell edges are 3.3191, 3.3191 and 7.4249 Å and the angles 90.00°, 90.00° and 90.00°. The asymmetric unit holds K at (0.0000, 0.0000, 0.0000), Ni at (0.5000, 0.5000, 0.3707), As at (0.0000, 0.0000, 0.4394) and As at (0.5000, 0.5000, 0.6849).

For the magnetization, the calculation gives 0.0000 μB/atom. As for the energy of formation from the pure elements: 0.04 eV per atom. The calculation puts the density of states at the Fermi level at 0.67 states/eV/atom. As for the crystal system: tetragonal. For the energy above the most stable polymorph in this dataset, the calculation gives 1.76 eV/f.u. As for the raw total energy: -16.1845 eV/atom.

***

# 5
VASP calculation (meta-GGA SCAN) on AlTeSe2 at its PBEsol-relaxed geometry.

The structure belongs to space group Cmmm (No. 65); the cell edges are 3.6535, 5.7677 and 8.5103 Å and the angles 90.00°, 90.00° and 90.00°. The asymmetric unit holds Al at (0.0000, 0.0000, 0.0000), Te at (0.0000, 0.0000, 0.5000) and Se at (0.0000, 0.5000, 0.1935).

The formation energy without anion corrections comes out at -41.8 meV per atom. For the magnetization, the calculation gives 0.0000 μB/atom. The calculation puts the density of states at the Fermi level at 0.50 states/eV/atom. As for the crystal system: orthorhombic. For the energy above the most stable polymorph in this dataset, the calculation gives 1.89 eV/f.u. As for the raw total energy: -21.3317 eV/atom.

***

# 6
VASP calculation (meta-GGA SCAN) on YCuIr2 at its PBEsol-relaxed geometry.

The structure belongs to space group Pmm2 (No. 25); the cell edges are 2.8606, 3.9085 and 5.7055 Å and the angles 90.00°, 90.00° and 90.00°. The asymmetric unit holds Y at (0.0000, 0.0000, 0.0000), Cu at (0.5000, 0.5000, 0.2823), Ir at (0.0000, 0.0000, 0.5006) and Ir at (0.5000, 0.5000, 0.7170).

For the magnetization, the calculation gives 0.0000 μB/atom. As for the energy of formation from the pure elements: -0.18 eV per atom. The calculation puts the density of states at the Fermi level at 0.82 states/eV/atom. As for the crystal system: orthorhombic. For the energy above the most stable polymorph in this dataset, the calculation gives 0.00 eV/f.u. As for the raw total energy: -46.4867 eV/atom.

***

# 7
VASP calculation (meta-GGA SCAN) on CoAg4Rh at its PBEsol-relaxed geometry.

The structure belongs to space group F-43m (No. 216); the cell edges are 7.3131, 7.3131 and 7.3131 Å and the angles 90.00°, 90.00° and 90.00°. The asymmetric unit holds Co at (0.0000, 0.0000, 0.0000), Ag at (0.1250, 0.1250, 0.6250) and Rh at (0.2500, 0.2500, 0.2500).

For the magnetization, the calculation gives 0.4319 μB/atom. As for the energy of formation from the pure elements: 0.63 eV per atom. The calculation puts the density of states at the Fermi level at 0.56 states/eV/atom. As for the crystal system: cubic. As for the raw total energy: -28.7946 eV/atom.

***

# 8
VASP calculation (meta-GGA SCAN) on HfMgSCl2 at its PBEsol-relaxed geometry.

The structure belongs to space group P4/mmm (No. 123); the cell edges are 4.9176, 4.9176 and 4.9105 Å and the angles 90.00°, 90.00° and 90.00°. The asymmetric unit holds Hf at (0.0000, 0.0000, 0.0000), Mg at (0.5000, 0.5000, 0.5000), S at (0.0000, 0.0000, 0.5000) and Cl at (0.0000, 0.5000, 0.0000).

The formation energy without anion corrections comes out at -1034.8 meV per atom. For the magnetization, the calculation gives 0.1578 μB/atom. The calculation puts the density of states at the Fermi level at 0.38 states/eV/atom. As for the crystal system: tetragonal. As for the raw total energy: -19.6809 eV/atom.

***

Q: Look up the raw total energy of the third one.
A: -36.4286 eV/atom